Material: RePCl2
Method: DFT, PBE
State: relaxed

Results
Its energy above the lowest structure with this stoichiometry is 1.138 eV per formula unit. The energy relative to the elements, uncorrected comes out at 0.00 eV/atom. The calculation puts the density of states at the Fermi level at 4.2 states/eV/cell.

Structure (POSCAR):
```
RePCl2
1.0
8.973 0.017 0.010
8.394 3.171 0.010
8.394 1.541 2.771
Cl P Re
2 1 1
Cartesian
0.701 0.129 0.076 Cl
5.739 1.053 0.622 Cl
12.508 2.296 1.355 P
19.692 3.614 2.134 Re
```